Record 1
Computed, not measured: a relaxed structure of CeNdPa2N4 at the PBE level of DFT.

abc: 6.1427 3.5610 6.1717
angles: 90.00 109.58 90.00
Last column: nearest neighbours and their distance in Å.
Space group P2/m (No. 10)
Symmetry-distinct sites (fractional):
Ce1 0.0000 0.0000 0.0000 (multiplicity 1)  6 N 2.62-2.63
Nd1 0.0000 0.5000 0.5000 (multiplicity 1)  6 N 2.63-2.64
Pa1 0.5000 0.0000 0.5000 (multiplicity 1)  6 N 2.41-2.42
Pa2 0.5000 0.5000 0.0000 (multiplicity 1)  6 N 2.40-2.41
N1 0.2806 0.5000 0.2587 (multiplicity 2)  3 Pa 2.41-2.42, 2 Ce 2.62, 1 Nd 2.63
N2 0.2845 0.0000 0.7631 (multiplicity 2)  3 Pa 2.40-2.41, 1 Ce 2.63, 2 Nd 2.64

density of states at the Fermi level: 6.2 states/eV/cell
raw formation energy: -1.59 eV/atom
density: 10.5 g/cm³

***

Record 2
Computed, not measured: a relaxed structure of CeNd2PbN at the PBE level of DFT.

abc: 5.0813 5.0813 4.8600
angles: 90.00 90.00 90.00
Last column: nearest neighbours and their distance in Å.
Space group P4/mmm (No. 123)
Symmetry-distinct sites (fractional):
Ce1 0.0000 0.0000 0.0000 (multiplicity 1)  2 N 2.43
Nd1 0.0000 0.5000 0.5000 (multiplicity 2)  2 N 2.54
Pb1 0.5000 0.5000 0.0000 (multiplicity 1)  8 Nd 3.52, 4 Ce 3.59
N1 0.0000 0.0000 0.5000 (multiplicity 1)  2 Ce 2.43, 4 Nd 2.54

density of states at the Fermi level: 7.4 states/eV/cell
raw formation energy: -0.86 eV/atom
density: 8.6 g/cm³

***

Record 3
Computed, not measured: a relaxed structure of Ce3PmNd4N8 at the PBE level of DFT.

abc: 7.2184 7.2184 17.6810
angles: 90.00 90.00 120.00
Last column: nearest neighbours and their distance in Å.
Space group R-3m (No. 166, hexagonal axes)
Symmetry-distinct sites (fractional):
Ce1 0.0000 0.5000 0.0000 (multiplicity 9)  6 N 2.49-2.50
Pm1 0.0000 0.0000 0.0000 (multiplicity 3)  6 N 2.54
Nd1 0.0000 0.0000 0.5000 (multiplicity 3)  6 N 2.56
Nd2 0.0000 0.5000 0.5000 (multiplicity 9)  6 N 2.60-2.62
N1 0.0000 0.0000 0.2550 (multiplicity 6)  3 Ce 2.50, 3 Nd 2.60
N2 0.0068 0.5034 0.2544 (multiplicity 18)  2 Ce 2.49, 1 Pm 2.54, 3 Nd 2.56-2.62

density of states at the Fermi level: 25.0 states/eV/cell
raw formation energy: -1.45 eV/atom
density: 7.8 g/cm³

***

Record 4
Computed, not measured: a relaxed structure of Ce3Pm2NdN6 at the PBE level of DFT.

abc: 6.2249 10.7794 6.2209
angles: 90.00 109.48 90.00
Last column: nearest neighbours and their distance in Å.
Space group C2/m (No. 12)
Symmetry-distinct sites (fractional):
Ce1 0.0000 0.0000 0.0000 (multiplicity 2)  6 N 2.48-2.50
Ce2 0.0000 0.3332 0.0000 (multiplicity 4)  6 N 2.48-2.50
Pm1 0.0000 0.1667 0.5000 (multiplicity 4)  6 N 2.58
Nd1 0.0000 0.5000 0.5000 (multiplicity 2)  6 N 2.60
N1 0.2442 0.1678 0.2360 (multiplicity 8)  3 Ce 2.48-2.50, 2 Pm 2.58, 1 Nd 2.60
N2 0.2477 0.5000 0.2363 (multiplicity 4)  3 Ce 2.48-2.50, 2 Pm 2.58, 1 Nd 2.60

density of states at the Fermi level: 15.2 states/eV/cell
raw formation energy: -1.48 eV/atom
density: 7.9 g/cm³